A plane-wave DFT calculation with PBE was carried out for YReSi2 after structural relaxation.

Values from the calculation:
E: -7.30 eV per atom
Uncorrected formation energy: 0.137 eV/atom
SG: I-4m2 (119)

CIF file:
```
data_YReSi2
_chemical_formula_sum 'Y1 Re1 Si2'
_cell_length_a 5.165
_cell_length_b 5.165
_cell_length_c 5.165
_cell_angle_alpha 134.85
_cell_angle_beta 134.85
_cell_angle_gamma 65.76
_space_group_name_H-M_alt 'P 1'
_space_group_IT_number 1
loop_
_space_group_symop_operation_xyz
'x,y,z'
loop_
_atom_site_label
_atom_site_fract_x
_atom_site_fract_y
_atom_site_fract_z
_atom_site_occupancy
Si1 0.250 0.750 0.500 1
Si2 0.000 0.000 0.000 1
Re1 0.750 0.250 0.500 1
Y1 0.500 0.500 0.000 1
```